The following is a PBE+U calculation of an optimized crystal structure of NiI3O, from Alexandria via LeMat-Bulk.

The total magnetization comes out at 1.2 Bohr magnetons per cell. For the uncorrected energy, the calculation gives -1.45 eV per atom. Its space group is Pm-3m (221).

```
NiI3O
1.0
-1.3029 -2.2349 -4.3792
3.5432 -3.5676 0.7665
-3.4085 -2.8543 2.4708
Ni I O
1 3 1
direct
0.5000 0.5000 0.5000
0.5000 0.0000 0.0000
0.0000 0.5000 0.0000
0.0000 0.0000 0.5000
0.0000 0.0000 0.0000
```